one.
SrCoS2 | PBE-GGA | relaxed Values from VASP.

Fermi-level density of states: 1.01 states/eV/f.u.
space group: No. 225

Quantum ESPRESSO input file:
```
&SYSTEM
  ibrav = 0, nat = 4, ntyp = 3
/
ATOMIC_SPECIES
Sr 87.62 Sr.upf
Co 58.93 Co.upf
S 32.06 S.upf
ATOMIC_POSITIONS crystal
Sr 0.0000 0.0000 0.0000
Co 0.5000 0.5000 0.5000
S 0.2500 0.2500 0.2500
S 0.7500 0.7500 0.7500
CELL_PARAMETERS angstrom
0.0000 3.3850 3.3850
3.3850 0.0000 3.3850
3.3850 3.3850 0.0000
```


two.
SrCoS2 | PBE-GGA | relaxed Values from VASP.

Fermi-level density of states: 6.92 states/eV/f.u.
space group: No. 166

Quantum ESPRESSO input file:
```
&SYSTEM
  ibrav = 0, nat = 4, ntyp = 3
/
ATOMIC_SPECIES
Sr 87.62 Sr.upf
Co 58.93 Co.upf
S 32.06 S.upf
ATOMIC_POSITIONS crystal
Sr 0.0000 0.0000 0.0000
Co 0.5000 0.5000 0.5000
S 0.4014 0.4014 0.4014
S 0.5986 0.5986 0.5986
CELL_PARAMETERS angstrom
2.2629 1.3065 7.1078
-2.2629 1.3065 7.1078
0.0000 -2.6129 7.1078
```


Which structure is the most stable? The one labeled two.


one.
TaCoS2 | PBE-GGA | relaxed Values from VASP.

Fermi-level density of states: 3.23 states/eV/f.u.
space group: No. 166

Quantum ESPRESSO input file:
```
&SYSTEM
  ibrav = 0, nat = 4, ntyp = 3
/
ATOMIC_SPECIES
Ta 180.95 Ta.upf
Co 58.93 Co.upf
S 32.06 S.upf
ATOMIC_POSITIONS crystal
Ta 0.0000 0.0000 0.0000
Co 0.5000 0.5000 0.5000
S 0.4055 0.4055 0.4055
S 0.5945 0.5945 0.5945
CELL_PARAMETERS angstrom
1.6048 0.9266 7.5921
-1.6048 0.9266 7.5921
0.0000 -1.8531 7.5921
```


two.
TaCoS2 | PBE-GGA | relaxed Values from VASP.

Fermi-level density of states: 1.83 states/eV/f.u.
space group: No. 225

Quantum ESPRESSO input file:
```
&SYSTEM
  ibrav = 0, nat = 4, ntyp = 3
/
ATOMIC_SPECIES
Ta 180.95 Ta.upf
Co 58.93 Co.upf
S 32.06 S.upf
ATOMIC_POSITIONS crystal
Ta 0.0000 0.0000 0.0000
Co 0.5000 0.5000 0.5000
S 0.2500 0.2500 0.2500
S 0.7500 0.7500 0.7500
CELL_PARAMETERS angstrom
0.0000 3.0025 3.0025
3.0025 0.0000 3.0025
3.0025 3.0025 0.0000
```


three.
TaCoS2 | PBE-GGA | relaxed Values from VASP.

Fermi-level density of states: 3.10 states/eV/f.u.
space group: No. 122

Quantum ESPRESSO input file:
```
&SYSTEM
  ibrav = 0, nat = 8, ntyp = 3
/
ATOMIC_SPECIES
Ta 180.95 Ta.upf
Co 58.93 Co.upf
S 32.06 S.upf
ATOMIC_POSITIONS crystal
Ta 0.0000 0.0000 0.0000
Ta 0.7500 0.2500 0.5000
Co 0.2500 0.7500 0.5000
Co 0.5000 0.5000 0.0000
S 0.1573 0.6250 0.0323
S 0.3750 0.4073 0.5323
S 0.5927 0.1250 0.9677
S 0.8750 0.8427 0.4677
CELL_PARAMETERS angstrom
-2.6581 2.6581 5.0413
2.6581 -2.6581 5.0413
2.6581 2.6581 -5.0413
```


Which structure is the most stable? The one labeled one.


one.
CoTcS2 | PBE-GGA | relaxed Values from VASP.

Fermi-level density of states: 4.51 states/eV/f.u.
space group: No. 166

Quantum ESPRESSO input file:
```
&SYSTEM
  ibrav = 0, nat = 4, ntyp = 3
/
ATOMIC_SPECIES
Co 58.93 Co.upf
Tc 98.00 Tc.upf
S 32.06 S.upf
ATOMIC_POSITIONS crystal
Co 0.0000 0.0000 0.0000
Tc 0.5000 0.5000 0.5000
S 0.0939 0.0939 0.0939
S 0.9061 0.9061 0.9061
CELL_PARAMETERS angstrom
1.5307 0.8837 7.5073
-1.5307 0.8837 7.5073
0.0000 -1.7675 7.5073
```


two.
CoTcS2 | PBE-GGA | relaxed Values from VASP.

Fermi-level density of states: 1.81 states/eV/f.u.
space group: No. 225

Quantum ESPRESSO input file:
```
&SYSTEM
  ibrav = 0, nat = 4, ntyp = 3
/
ATOMIC_SPECIES
Co 58.93 Co.upf
Tc 98.00 Tc.upf
S 32.06 S.upf
ATOMIC_POSITIONS crystal
Co 0.0000 0.0000 0.0000
Tc 0.5000 0.5000 0.5000
S 0.2500 0.2500 0.2500
S 0.7500 0.7500 0.7500
CELL_PARAMETERS angstrom
0.0000 2.9447 2.9447
2.9447 0.0000 2.9447
2.9447 2.9447 0.0000
```


Which structure is the most stable? The one labeled one.


one.
CoTcS2 | PBE-GGA | relaxed Values from VASP.

Fermi-level density of states: 3.31 states/eV/f.u.
space group: No. 122

Quantum ESPRESSO input file:
```
&SYSTEM
  ibrav = 0, nat = 8, ntyp = 3
/
ATOMIC_SPECIES
Co 58.93 Co.upf
Tc 98.00 Tc.upf
S 32.06 S.upf
ATOMIC_POSITIONS crystal
Co 0.0000 0.0000 0.0000
Co 0.7500 0.2500 0.5000
Tc 0.2500 0.7500 0.5000
Tc 0.5000 0.5000 0.0000
S 0.1064 0.6250 0.9814
S 0.3750 0.3564 0.4814
S 0.6436 0.1250 0.0186
S 0.8750 0.8936 0.5186
CELL_PARAMETERS angstrom
-2.5527 2.5527 5.0879
2.5527 -2.5527 5.0879
2.5527 2.5527 -5.0879
```


two.
CoTcS2 | PBE-GGA | relaxed Values from VASP.

Fermi-level density of states: 2.91 states/eV/f.u.
space group: No. 166

Quantum ESPRESSO input file:
```
&SYSTEM
  ibrav = 0, nat = 4, ntyp = 3
/
ATOMIC_SPECIES
Co 58.93 Co.upf
Tc 98.00 Tc.upf
S 32.06 S.upf
ATOMIC_POSITIONS crystal
Co 0.0000 0.0000 0.0000
Tc 0.5000 0.5000 0.5000
S 0.3960 0.3960 0.3960
S 0.6040 0.6040 0.6040
CELL_PARAMETERS angstrom
1.5247 0.8803 7.2409
-1.5247 0.8803 7.2409
0.0000 -1.7605 7.2409
```


Which structure is the most stable? The one labeled one.


one.
CoTc2S2 | PBE-GGA | relaxed Values from VASP.

Fermi-level density of states: 6.71 states/eV/f.u.
space group: No. 127

Quantum ESPRESSO input file:
```
&SYSTEM
  ibrav = 0, nat = 10, ntyp = 3
/
ATOMIC_SPECIES
Co 58.93 Co.upf
Tc 98.00 Tc.upf
S 32.06 S.upf
ATOMIC_POSITIONS crystal
Co 0.0000 0.0000 0.0000
Co 0.5000 0.5000 0.0000
Tc 0.1471 0.3529 0.0000
Tc 0.3529 0.8529 0.0000
Tc 0.6471 0.1471 0.0000
Tc 0.8529 0.6471 0.0000
S 0.1508 0.6508 0.5000
S 0.3492 0.1508 0.5000
S 0.6508 0.8492 0.5000
S 0.8492 0.3492 0.5000
CELL_PARAMETERS angstrom
6.7805 0.0000 0.0000
0.0000 6.7805 0.0000
0.0000 0.0000 2.9902
```


two.
CoTc2S2 | PBE-GGA | relaxed Values from VASP.

Fermi-level density of states: 6.19 states/eV/f.u.
space group: No. 139

Quantum ESPRESSO input file:
```
&SYSTEM
  ibrav = 0, nat = 5, ntyp = 3
/
ATOMIC_SPECIES
Co 58.93 Co.upf
Tc 98.00 Tc.upf
S 32.06 S.upf
ATOMIC_POSITIONS crystal
Co 0.0000 0.0000 0.0000
Tc 0.3799 0.3799 0.0000
Tc 0.6201 0.6201 0.0000
S 0.2500 0.7500 0.5000
S 0.7500 0.2500 0.5000
CELL_PARAMETERS angstrom
-1.8601 1.8601 5.4496
1.8601 -1.8601 5.4496
1.8601 1.8601 -5.4496
```


Which structure is the most stable? The one labeled one.


one.
Co3TeS | PBE-GGA | relaxed Values from VASP.

Fermi-level density of states: 21.09 states/eV/f.u.
space group: No. 221

Quantum ESPRESSO input file:
```
&SYSTEM
  ibrav = 0, nat = 5, ntyp = 3
/
ATOMIC_SPECIES
Co 58.93 Co.upf
Te 127.60 Te.upf
S 32.06 S.upf
ATOMIC_POSITIONS crystal
Co 0.0000 0.0000 0.5000
Co 0.0000 0.5000 0.0000
Co 0.5000 0.0000 0.0000
Te 0.0000 0.0000 0.0000
S 0.5000 0.5000 0.5000
CELL_PARAMETERS angstrom
4.7521 0.0000 0.0000
0.0000 4.7521 0.0000
0.0000 0.0000 4.7521
```


two.
Co3TeS | PBE-GGA | relaxed Values from VASP.

Fermi-level density of states: 11.22 states/eV/f.u.
space group: No. 221

Quantum ESPRESSO input file:
```
&SYSTEM
  ibrav = 0, nat = 5, ntyp = 3
/
ATOMIC_SPECIES
Co 58.93 Co.upf
Te 127.60 Te.upf
S 32.06 S.upf
ATOMIC_POSITIONS crystal
Co 0.0000 0.0000 0.5000
Co 0.0000 0.5000 0.0000
Co 0.5000 0.0000 0.0000
Te 0.5000 0.5000 0.5000
S 0.0000 0.0000 0.0000
CELL_PARAMETERS angstrom
4.2104 0.0000 0.0000
0.0000 4.2104 0.0000
0.0000 0.0000 4.2104
```


Which structure is the most stable? The one labeled two.


one.
Th2CoS | PBE-GGA | relaxed Values from VASP.

Fermi-level density of states: 3.29 states/eV/f.u.
space group: No. 166

Quantum ESPRESSO input file:
```
&SYSTEM
  ibrav = 0, nat = 4, ntyp = 3
/
ATOMIC_SPECIES
Th 232.04 Th.upf
Co 58.93 Co.upf
S 32.06 S.upf
ATOMIC_POSITIONS crystal
Th 0.2404 0.2404 0.2404
Th 0.7596 0.7596 0.7596
Co 0.5000 0.5000 0.5000
S 0.0000 0.0000 0.0000
CELL_PARAMETERS angstrom
1.9828 1.1448 7.0589
-1.9828 1.1448 7.0589
0.0000 -2.2896 7.0589
```


two.
Th2CoS | PBE-GGA | relaxed Values from VASP.

Fermi-level density of states: 4.40 states/eV/f.u.
space group: No. 160

Quantum ESPRESSO input file:
```
&SYSTEM
  ibrav = 0, nat = 4, ntyp = 3
/
ATOMIC_SPECIES
Th 232.04 Th.upf
Co 58.93 Co.upf
S 32.06 S.upf
ATOMIC_POSITIONS crystal
Th 0.0000 0.0000 0.0000
Th 0.1881 0.1881 0.1881
Co 0.5922 0.5922 0.5922
S 0.7615 0.7615 0.7615
CELL_PARAMETERS angstrom
1.9627 1.1332 7.2474
-1.9627 1.1332 7.2474
0.0000 -2.2664 7.2474
```


Which structure is the most stable? The one labeled one.


one.
Ti2Co2S | PBE-GGA | relaxed Values from VASP.

Fermi-level density of states: 1.03 states/eV/f.u.
space group: No. 139

Quantum ESPRESSO input file:
```
&SYSTEM
  ibrav = 0, nat = 5, ntyp = 3
/
ATOMIC_SPECIES
Ti 47.87 Ti.upf
Co 58.93 Co.upf
S 32.06 S.upf
ATOMIC_POSITIONS crystal
Ti 0.2500 0.7500 0.5000
Ti 0.7500 0.2500 0.5000
Co 0.1181 0.1181 0.0000
Co 0.8819 0.8819 0.0000
S 0.5000 0.5000 0.0000
CELL_PARAMETERS angstrom
-2.0138 2.0138 4.7272
2.0138 -2.0138 4.7272
2.0138 2.0138 -4.7272
```


two.
Ti2Co2S | PBE-GGA | relaxed Values from VASP.

Fermi-level density of states: 3.76 states/eV/f.u.
space group: No. 127

Quantum ESPRESSO input file:
```
&SYSTEM
  ibrav = 0, nat = 10, ntyp = 3
/
ATOMIC_SPECIES
Ti 47.87 Ti.upf
Co 58.93 Co.upf
S 32.06 S.upf
ATOMIC_POSITIONS crystal
Ti 0.1701 0.3299 0.0000
Ti 0.3299 0.8299 0.0000
Ti 0.6701 0.1701 0.0000
Ti 0.8299 0.6701 0.0000
Co 0.1308 0.6308 0.5000
Co 0.3692 0.1308 0.5000
Co 0.6308 0.8692 0.5000
Co 0.8692 0.3692 0.5000
S 0.0000 0.0000 0.5000
S 0.5000 0.5000 0.5000
CELL_PARAMETERS angstrom
6.5263 0.0000 0.0000
0.0000 6.5263 0.0000
0.0000 0.0000 3.1282
```


Which structure is the most stable? The one labeled two.